Arrangement 1

First-principles (PBE+U) data for FeAuF3 after structural relaxation, as listed in Alexandria.

Cell: 4.4256 4.4256 4.4256 Å, 90.00 90.00 90.00°
Each line ends with the local moment (μB).
Element x y z (fractional)
Au 0.0000 0.0000 0.0000  0.20
F 0.0000 0.0000 0.5000  0.02
Fe 0.5000 0.5000 0.5000  3.03
F 0.5000 0.0000 0.0000  0.04
F 0.0000 0.5000 0.0000  0.05

Calculated values
* theoretical density: 5.93 g cm⁻³

=====

Arrangement 2

First-principles (PBE+U) data for FeAuF3 after structural relaxation, as listed in Alexandria.

Cell: 4.0893 4.0893 4.0893 Å, 90.00 90.00 90.00°
Each line ends with the local moment (μB).
Element x y z (fractional)
F 0.5000 0.0000 0.0000  0.12
F 0.0000 0.0000 0.5000  0.04
Fe 0.0000 0.0000 0.0000  4.22
F 0.0000 0.5000 0.0000  0.08
Au 0.5000 0.5000 0.5000  -0.01

Calculated values
* theoretical density: 7.52 g cm⁻³

=====

Stability check: which of them is least stable? arrangement 1.

=====

Arrangement 1

First-principles (PBE+U) data for Fe3AuF after structural relaxation, as listed in Alexandria.

Cell: 5.0242 5.0242 5.0242 Å, 90.00 90.00 90.00°
Each line ends with the local moment (μB).
Element x y z (fractional)
Fe 0.0000 0.0000 0.5000  3.80
Au 0.0000 0.0000 0.0000  0.02
Fe 0.5000 0.0000 0.0000  3.77
Fe 0.0000 0.5000 0.0000  3.81
F 0.5000 0.5000 0.5000  0.03

Calculated values
* theoretical density: 5.02 g cm⁻³

=====

Arrangement 2

First-principles (PBE+U) data for Fe3AuF after structural relaxation, as listed in Alexandria.

Cell: 4.2361 4.2361 4.2361 Å, 90.00 90.00 90.00°
Each line ends with the local moment (μB).
Element x y z (fractional)
Fe 0.0000 0.0000 0.5000  3.48
Fe 0.5000 0.0000 0.0000  3.27
Fe 0.0000 0.5000 0.0000  3.62
F 0.0000 0.0000 0.0000  0.04
Au 0.5000 0.5000 0.5000  0.00

Calculated values
* theoretical density: 8.38 g cm⁻³

=====

Stability check: which of them is least stable? arrangement 1.

=====

Arrangement 1

First-principles (PBE+U) data for FeAu2F after structural relaxation, as listed in Alexandria.

Cell: 7.2715 7.2715 5.7793 Å, 51.02 51.02 90.00°
Each line ends with the local moment (μB).
Element x y z (fractional)
Au 0.6176 0.1250 0.2500  0.03
Au 0.1324 0.6250 0.2500  0.03
F 0.2500 0.7500 0.5000  0.04
F 0.5000 0.5000 0.0000  0.04
Au 0.3750 0.3824 0.7500  0.03
Au 0.8750 0.8676 0.7500  0.03
Fe 0.0000 0.0000 0.0000  3.82
Fe 0.7500 0.2500 0.5000  3.82

Calculated values
* theoretical density: 11.16 g cm⁻³

=====

Arrangement 2

First-principles (PBE+U) data for FeAu2F after structural relaxation, as listed in Alexandria.

Cell: 4.4535 4.4535 4.4535 Å, 60.00 60.00 60.00°
Each line ends with the local moment (μB).
Element x y z (fractional)
Fe 0.5000 0.5000 0.5000  3.75
Au 0.7500 0.7500 0.7500  0.03
F 0.0000 0.0000 0.0000  0.02
Au 0.2500 0.2500 0.2500  0.03

Calculated values
* theoretical density: 12.46 g cm⁻³

=====

Stability check: which of them is least stable? arrangement 2.

=====

Arrangement 1

First-principles (PBE+U) data for FeAu3F after structural relaxation, as listed in Alexandria.

Cell: 4.5833 4.5833 4.5833 Å, 90.00 90.00 90.00°
Each line ends with the local moment (μB).
Element x y z (fractional)
Au 0.5000 0.0000 0.0000  0.06
Au 0.0000 0.0000 0.5000  0.01
Fe 0.5000 0.5000 0.5000  3.72
Au 0.0000 0.5000 0.0000  -0.01
F 0.0000 0.0000 0.0000  -0.01

Calculated values
* theoretical density: 11.48 g cm⁻³

=====

Arrangement 2

First-principles (PBE+U) data for FeAu3F after structural relaxation, as listed in Alexandria.

Cell: 4.8927 4.8927 4.8927 Å, 90.00 90.00 90.00°
Each line ends with the local moment (μB).
Element x y z (fractional)
Au 0.0000 0.5000 0.0000  -0.02
Fe 0.0000 0.0000 0.0000  3.25
Au 0.0000 0.0000 0.5000  0.03
Au 0.5000 0.0000 0.0000  -0.03
F 0.5000 0.5000 0.5000  -0.04

Calculated values
* theoretical density: 9.44 g cm⁻³

=====

Stability check: which of them is least stable? arrangement 1.

=====

Arrangement 1

First-principles (PBE+U) data for FeAuNF2 after structural relaxation, as listed in Alexandria.

Cell: 4.5952 4.5952 3.8213 Å, 90.00 90.00 90.00°
Each line ends with the local moment (μB).
Element x y z (fractional)
F 0.0000 0.5000 0.0000  0.02
Au 0.0000 0.0000 0.0000  0.02
N 0.0000 0.0000 0.5000  0.01
F 0.5000 0.0000 0.0000  0.02
Fe 0.5000 0.5000 0.5000  3.93

Calculated values
* theoretical density: 6.27 g cm⁻³

=====

Arrangement 2

First-principles (PBE+U) data for FeAuNF2 after structural relaxation, as listed in Alexandria.

Cell: 3.8105 3.8105 4.4417 Å, 90.00 90.00 90.00°
Each line ends with the local moment (μB).
Element x y z (fractional)
Au 0.5000 0.5000 0.5000  0.01
F 0.5000 0.0000 0.0000  0.12
N 0.0000 0.0000 0.5000  0.19
Fe 0.0000 0.0000 0.0000  4.41
F 0.0000 0.5000 0.0000  0.12

Calculated values
* theoretical density: 7.85 g cm⁻³

=====

Stability check: which of them is least stable? arrangement 1.

=====

Arrangement 1

First-principles (PBE+U) data for FeAuN2F after structural relaxation, as listed in Alexandria.

Cell: 3.9241 3.9241 5.0066 Å, 90.00 90.00 90.00°
Each line ends with the local moment (μB).
Element x y z (fractional)
N 0.5000 0.0000 0.0000  0.70
Fe 0.5000 0.5000 0.5000  3.81
F 0.0000 0.0000 0.5000  0.02
N 0.0000 0.5000 0.0000  0.70
Au 0.0000 0.0000 0.0000  0.28

Calculated values
* theoretical density: 6.46 g cm⁻³

=====

Arrangement 2

First-principles (PBE+U) data for FeAuN2F after structural relaxation, as listed in Alexandria.

Cell: 3.9275 3.9275 3.9203 Å, 90.00 90.00 90.00°
Each line ends with the local moment (μB).
Element x y z (fractional)
N 0.5000 0.0000 0.0000  -0.42
Fe 0.0000 0.0000 0.0000  3.97
N 0.0000 0.5000 0.0000  -0.42
Au 0.5000 0.5000 0.5000  -0.16
F 0.0000 0.0000 0.5000  0.09

Calculated values
* theoretical density: 8.23 g cm⁻³

=====

Stability check: which of them is least stable? arrangement 1.